Record 1
Density functional theory data (PBEsol) for an optimized crystal structure of SmErMg2.

density of states at the Fermi level	4.36	states/eV per cell
calculated formation energy	-75	meV per atom
mass density	5.76	Mg/m³
symmetry	No. 225

Cell: 5.3061 5.3061 5.3061 Å, 60.00 60.00 60.00°
Atoms (fractional coordinates):
1 Mg 0.7500 0.7500 0.7500
2 Mg 0.2500 0.2500 0.2500
3 Er 0.5000 0.5000 0.5000
4 Sm 0.0000 0.0000 0.0000

=====

Record 2
Density functional theory data (PBEsol) for an optimized crystal structure of Er2MgTl.

density of states at the Fermi level	3.62	states/eV per cell
calculated formation energy	-251	meV per atom
mass density	9.32	Mg/m³
symmetry	No. 225

Cell: 5.2154 5.2154 5.2154 Å, 60.00 60.00 60.00°
Atoms (fractional coordinates):
1 Er 0.2500 0.2500 0.2500
2 Er 0.7500 0.7500 0.7500
3 Mg 0.5000 0.5000 0.5000
4 Tl 0.0000 0.0000 0.0000

=====

Record 3
Density functional theory data (PBEsol) for an optimized crystal structure of ErMgTl.

density of states at the Fermi level	0.93	states/eV per cell
calculated formation energy	-365	meV per atom
mass density	9.08	Mg/m³
symmetry	No. 189

Cell: 4.5783 7.4012 7.4012 Å, 120.00 90.00 90.00°
Atoms (fractional coordinates):
1 Mg 0.5000 0.0000 0.7567
2 Mg 0.5000 0.7567 0.0000
3 Mg 0.5000 0.2433 0.2433
4 Er 0.0000 0.5683 0.5683
5 Er 0.0000 0.0000 0.4317
6 Er 0.0000 0.4317 0.0000
7 Tl 0.5000 0.3333 0.6667
8 Tl 0.5000 0.6667 0.3333
9 Tl 0.0000 0.0000 0.0000

=====

Record 4
Density functional theory data (PBEsol) for an optimized crystal structure of ErMn12.

density of states at the Fermi level	16.56	states/eV per cell
calculated formation energy	2	meV per atom
mass density	9.20	Mg/m³
symmetry	No. 139

Cell: 4.4994 6.1828 6.1828 Å, 82.39 68.66 68.66°
Atoms (fractional coordinates):
1 Mn 0.3644 0.6356 0.6356
2 Mn 0.2751 0.2249 0.2249
3 Mn 0.5000 0.0000 0.5000
4 Mn 0.7249 0.7751 0.7751
5 Mn 0.5000 0.5000 0.0000
6 Mn 0.0000 0.5000 0.0000
7 Mn 0.5000 0.2249 0.7751
8 Mn 0.0000 0.0000 0.5000
9 Mn 0.0000 0.6356 0.3644
10 Mn 0.6356 0.3644 0.3644
11 Mn 0.0000 0.3644 0.6356
12 Mn 0.5000 0.7751 0.2249
13 Er 0.0000 0.0000 0.0000

=====

Record 5
Density functional theory data (PBEsol) for an optimized crystal structure of ErMn2O5.

density of states at the Fermi level	1.17	states/eV per cell
uncorrected formation energy	-2.366	eV per atom
mass density	7.02	Mg/m³
symmetry	No. 55

Cell: 5.6434 7.1241 8.4045 Å, 90.00 90.00 90.00°
Atoms (fractional coordinates):
1 Mn 0.2527 0.5000 0.0000
2 Mn 0.2527 0.0000 0.5000
3 Mn 0.5000 0.5870 0.6511
4 Mn 0.5000 0.0870 0.8489
5 Mn 0.5000 0.4130 0.3489
6 Mn 0.7473 0.0000 0.5000
7 Mn 0.7473 0.5000 0.0000
8 Mn 0.5000 0.9130 0.1511
9 O 0.0000 0.1670 0.4433
10 O 0.5000 0.3450 0.9332
11 O 0.2418 0.3930 0.2076
12 O 0.7582 0.3930 0.2076
13 O 0.2694 0.5000 0.5000
14 O 0.7582 0.6070 0.7924
15 O 0.2694 0.0000 0.0000
16 O 0.0000 0.6670 0.0567
17 O 0.5000 0.6550 0.0668
18 O 0.2418 0.1070 0.7076
19 O 0.5000 0.1550 0.4332
20 O 0.2418 0.6070 0.7924
21 O 0.0000 0.8330 0.5567
22 O 0.7306 0.5000 0.5000
23 O 0.5000 0.8450 0.5668
24 O 0.7306 0.0000 0.0000
25 O 0.2418 0.8930 0.2924
26 O 0.7582 0.8930 0.2924
27 O 0.0000 0.3330 0.9433
28 O 0.7582 0.1070 0.7076
29 Er 0.0000 0.1357 0.1715
30 Er 0.0000 0.3643 0.6715
31 Er 0.0000 0.6357 0.3285
32 Er 0.0000 0.8643 0.8285

=====

Record 6
Density functional theory data (PBEsol) for an optimized crystal structure of ErMnO3.

density of states at the Fermi level	2.11	states/eV per cell
uncorrected formation energy	-2.690	eV per atom
mass density	7.50	Mg/m³
symmetry	No. 185

Cell: 6.0530 6.0530 11.3195 Å, 90.00 90.00 120.00°
Atoms (fractional coordinates):
1 O 0.3051 0.3051 0.3378
2 O 0.0000 0.0000 0.5253
3 O 0.3333 0.6667 0.4821
4 O 0.6949 0.0000 0.3378
5 O 0.0000 0.3051 0.8378
6 O 0.0000 0.6393 0.6663
7 O 0.6667 0.3333 0.4821
8 O 0.6393 0.0000 0.6663
9 O 0.6949 0.6949 0.8378
10 O 0.3333 0.6667 0.9821
11 O 0.3051 0.0000 0.8378
12 O 0.0000 0.3607 0.1663
13 O 0.3607 0.3607 0.6663
14 O 0.0000 0.6949 0.3378
15 O 0.3607 0.0000 0.1663
16 O 0.0000 0.0000 0.0253
17 O 0.6667 0.3333 0.9821
18 O 0.6393 0.6393 0.1663
19 Er 0.3333 0.6667 0.7721
20 Er 0.0000 0.0000 0.7255
21 Er 0.0000 0.0000 0.2255
22 Er 0.6667 0.3333 0.7721
23 Er 0.3333 0.6667 0.2721
24 Er 0.6667 0.3333 0.2721
25 Mn 0.6664 0.0000 0.5022
26 Mn 0.6664 0.6664 0.0022
27 Mn 0.0000 0.3336 0.0022
28 Mn 0.3336 0.0000 0.0022
29 Mn 0.3336 0.3336 0.5022
30 Mn 0.0000 0.6664 0.5022

=====

Record 7
Density functional theory data (PBEsol) for an optimized crystal structure of Er2Mn3Sb3O14.

density of states at the Fermi level	1.58	states/eV per cell
uncorrected formation energy	-1.963	eV per atom
mass density	6.93	Mg/m³
symmetry	No. 12

Cell: 7.0419 7.0419 7.1567 Å, 61.63 61.63 61.92°
Atoms (fractional coordinates):
1 O 0.4042 0.4042 0.3558
2 O 0.5958 0.5958 0.6442
3 O 0.4334 0.8230 0.9071
4 O 0.8309 0.8309 0.9396
5 O 0.1770 0.5666 0.0929
6 O 0.1691 0.1691 0.0604
7 O 0.8230 0.4334 0.9071
8 O 0.5855 0.1669 0.6723
9 O 0.5666 0.1770 0.0929
10 O 0.8834 0.8834 0.3713
11 O 0.8331 0.4145 0.3277
12 O 0.1166 0.1166 0.6287
13 O 0.1669 0.5855 0.6723
14 O 0.4145 0.8331 0.3277
15 Sb 0.5000 0.5000 0.5000
16 Sb 0.0000 0.5000 0.0000
17 Sb 0.5000 0.0000 0.0000
18 Er 0.0000 0.5000 0.5000
19 Er 0.5000 0.0000 0.5000
20 Mn 0.0000 0.0000 0.5000
21 Mn 0.5000 0.5000 0.0000
22 Mn 0.0000 0.0000 0.0000

=====

Record 8
Density functional theory data (PBEsol) for an optimized crystal structure of Er2Mn12P7.

density of states at the Fermi level	16.86	states/eV per cell
calculated formation energy	-746	meV per atom
mass density	7.89	Mg/m³
symmetry	No. 174

Cell: 3.5555 9.0974 9.0974 Å, 120.00 90.00 90.00°
Atoms (fractional coordinates):
1 Mn 0.0000 0.0922 0.3814
2 Mn 0.5000 0.5461 0.1117
3 Mn 0.0000 0.6186 0.7107
4 Mn 0.0000 0.8229 0.6101
5 Mn 0.5000 0.7112 0.9420
6 Mn 0.0000 0.7872 0.1771
7 Mn 0.5000 0.2308 0.2888
8 Mn 0.5000 0.0580 0.7692
9 Mn 0.0000 0.2893 0.9078
10 Mn 0.5000 0.8883 0.4344
11 Mn 0.5000 0.5656 0.4539
12 Mn 0.0000 0.3899 0.2128
13 P 0.0000 0.5457 0.9229
14 P 0.0000 0.6667 0.3333
15 P 0.5000 0.9488 0.2070
16 P 0.5000 0.7930 0.7418
17 P 0.5000 0.2582 0.0512
18 P 0.0000 0.0771 0.6229
19 P 0.0000 0.3771 0.4543
20 Er 0.5000 0.3333 0.6667
21 Er 0.0000 0.0000 0.0000

=====

Record 9
Density functional theory data (PBEsol) for an optimized crystal structure of Er4MnS7.

density of states at the Fermi level	2.12	states/eV per cell
uncorrected formation energy	-1.820	eV per atom
mass density	6.40	Mg/m³
symmetry	No. 8

Cell: 3.7211 6.4025 11.1849 Å, 104.49 90.00 106.89°
Atoms (fractional coordinates):
1 Mn 0.1190 0.2380 0.4230
2 S 0.7319 0.4639 0.3502
3 S 0.6590 0.3179 0.0485
4 S 0.5186 0.0372 0.5105
5 S 0.2598 0.5195 0.6398
6 S 0.9648 0.9296 0.2290
7 S 0.3360 0.6719 0.9470
8 S 0.0341 0.0682 0.7861
9 Er 0.9966 0.9933 0.0068
10 Er 0.6887 0.3775 0.7943
11 Er 0.3029 0.6057 0.1989
12 Er 0.8887 0.7774 0.5659

=====

Record 10
Density functional theory data (PBEsol) for an optimized crystal structure of ErMn2Si2.

density of states at the Fermi level	2.82	states/eV per cell
uncorrected formation energy	-0.641	eV per atom
mass density	7.44	Mg/m³
symmetry	No. 139

Cell: 3.8230 3.8230 5.7624 Å, 109.37 109.37 90.00°
Atoms (fractional coordinates):
1 Si 0.3806 0.3806 0.7611
2 Si 0.6194 0.6194 0.2389
3 Er 0.0000 0.0000 0.0000
4 Mn 0.2500 0.7500 0.5000
5 Mn 0.7500 0.2500 0.5000

=====

Record 11
Density functional theory data (PBEsol) for an optimized crystal structure of Er2Mn3Si5.

density of states at the Fermi level	19.22	states/eV per cell
uncorrected formation energy	-0.702	eV per atom
mass density	7.36	Mg/m³
symmetry	No. 128

Cell: 5.3179 10.4169 10.4169 Å, 90.00 90.00 90.00°
Atoms (fractional coordinates):
1 Mn 0.2500 0.5000 0.0000
2 Mn 0.0000 0.6214 0.3539
3 Mn 0.2500 0.0000 0.5000
4 Mn 0.0000 0.6461 0.6214
5 Mn 0.0000 0.3786 0.6461
6 Mn 0.0000 0.3539 0.3786
7 Mn 0.5000 0.8539 0.1214
8 Mn 0.5000 0.1461 0.8786
9 Mn 0.5000 0.8786 0.8539
10 Mn 0.5000 0.1214 0.1461
11 Mn 0.7500 0.0000 0.5000
12 Mn 0.7500 0.5000 0.0000
13 Si 0.2500 0.3255 0.8255
14 Si 0.7438 0.0000 0.0000
15 Si 0.0000 0.4742 0.1854
16 Si 0.7562 0.5000 0.5000
17 Si 0.2500 0.1745 0.3255
18 Si 0.0000 0.8146 0.4742
19 Si 0.7500 0.6745 0.1745
20 Si 0.0000 0.5258 0.8146
21 Si 0.5000 0.0258 0.6854
22 Si 0.2500 0.8255 0.6745
23 Si 0.5000 0.3146 0.0258
24 Si 0.5000 0.9742 0.3146
25 Si 0.7500 0.8255 0.6745
26 Si 0.7500 0.1745 0.3255
27 Si 0.5000 0.6854 0.9742
28 Si 0.7500 0.3255 0.8255
29 Si 0.2562 0.0000 0.0000
30 Si 0.2438 0.5000 0.5000
31 Si 0.0000 0.1854 0.5258
32 Si 0.2500 0.6745 0.1745
33 Er 0.0000 0.9242 0.2362
34 Er 0.5000 0.4242 0.2638
35 Er 0.5000 0.7362 0.4242
36 Er 0.0000 0.0758 0.7638
37 Er 0.0000 0.7638 0.9242
38 Er 0.5000 0.5758 0.7362
39 Er 0.5000 0.2638 0.5758
40 Er 0.0000 0.2362 0.0758

=====

Record 12
Density functional theory data (PBEsol) for an optimized crystal structure of ErMn6Sn6.

density of states at the Fermi level	5.56	states/eV per cell
calculated formation energy	-132	meV per atom
mass density	9.17	Mg/m³
symmetry	No. 191

Cell: 5.3569 5.3569 8.8122 Å, 90.00 90.00 120.00°
Atoms (fractional coordinates):
1 Er 0.0000 0.0000 0.0000
2 Mn 0.5000 0.0000 0.2480
3 Mn 0.5000 0.0000 0.7520
4 Mn 0.5000 0.5000 0.2480
5 Mn 0.0000 0.5000 0.2480
6 Mn 0.5000 0.5000 0.7520
7 Mn 0.0000 0.5000 0.7520
8 Sn 0.0000 0.0000 0.6672
9 Sn 0.0000 0.0000 0.3328
10 Sn 0.6667 0.3333 0.5000
11 Sn 0.6667 0.3333 0.0000
12 Sn 0.3333 0.6667 0.0000
13 Sn 0.3333 0.6667 0.5000

=====

Record 13
Density functional theory data (PBEsol) for an optimized crystal structure of Er6MnTe2.

density of states at the Fermi level	7.61	states/eV per cell
uncorrected formation energy	-0.603	eV per atom
mass density	9.74	Mg/m³
symmetry	No. 189

Cell: 3.9620 8.0777 8.0777 Å, 120.00 90.00 90.00°
Atoms (fractional coordinates):
1 Er 0.0000 0.7639 0.0000
2 Er 0.0000 0.0000 0.7639
3 Er 0.5000 0.6077 0.6077
4 Er 0.0000 0.2361 0.2361
5 Er 0.5000 0.3923 0.0000
6 Er 0.5000 0.0000 0.3923
7 Te 0.0000 0.6667 0.3333
8 Te 0.0000 0.3333 0.6667
9 Mn 0.5000 0.0000 0.0000

=====

Record 14
Density functional theory data (PBEsol) for an optimized crystal structure of Er2MoO6.

density of states at the Fermi level	0.00	states/eV per cell
uncorrected formation energy	-3.025	eV per atom
mass density	7.99	Mg/m³
symmetry	No. 15

Cell: 5.2646 9.7157 9.7157 Å, 67.88 75.01 75.01°
Atoms (fractional coordinates):
1 Er 0.7500 0.3933 0.6067
2 Er 0.8784 0.4489 0.2159
3 Er 0.2500 0.1360 0.8640
4 Er 0.1216 0.5511 0.7841
5 Er 0.6216 0.7841 0.5511
6 Er 0.7500 0.8640 0.1360
7 Er 0.2500 0.6067 0.3933
8 Er 0.3784 0.2159 0.4489
9 O 0.8605 0.8139 0.7122
10 O 0.9191 0.8076 0.3373
11 O 0.4858 0.8901 0.9508
12 O 0.3605 0.7122 0.8139
13 O 0.8762 0.3263 0.8839
14 O 0.9215 0.5732 0.6091
15 O 0.6238 0.1161 0.6737
16 O 0.7571 0.0248 0.4341
17 O 0.2429 0.9752 0.5659
18 O 0.0809 0.1924 0.6627
19 O 0.5142 0.1099 0.0492
20 O 0.5809 0.6627 0.1924
21 O 0.3762 0.8839 0.3263
22 O 0.6395 0.2878 0.1861
23 O 0.1395 0.1861 0.2878
24 O 0.4215 0.6091 0.5732
25 O 0.1238 0.6737 0.1161
26 O 0.5785 0.3909 0.4268
27 O 0.9858 0.9508 0.8901
28 O 0.0142 0.0492 0.1099
29 O 0.0785 0.4268 0.3909
30 O 0.4191 0.3373 0.8076
31 O 0.7429 0.5659 0.9752
32 O 0.2571 0.4341 0.0248
33 Mo 0.5637 0.2960 0.0131
34 Mo 0.4363 0.7040 0.9869
35 Mo 0.9363 0.9869 0.7040
36 Mo 0.0637 0.0131 0.2960

=====

Record 15
Density functional theory data (PBEsol) for an optimized crystal structure of Er5Mo2O12.

density of states at the Fermi level	2.46	states/eV per cell
uncorrected formation energy	-3.172	eV per atom
mass density	8.47	Mg/m³
symmetry	No. 12

Cell: 5.6407 6.6564 7.4002 Å, 106.33 90.00 115.07°
Atoms (fractional coordinates):
1 Er 0.6849 0.3697 0.8207
2 Er 0.3049 0.6099 0.6393
3 Er 0.0000 0.0000 0.5000
4 Er 0.6951 0.3901 0.3607
5 Er 0.3151 0.6303 0.1793
6 O 0.0920 0.6690 0.9156
7 O 0.9080 0.3310 0.0844
8 O 0.9986 0.9972 0.2060
9 O 0.9021 0.3093 0.5741
10 O 0.5770 0.6690 0.9156
11 O 0.0014 0.0028 0.7940
12 O 0.5928 0.6907 0.4259
13 O 0.4072 0.3093 0.5741
14 O 0.4230 0.3310 0.0844
15 O 0.0979 0.6907 0.4259
16 O 0.4992 0.9985 0.8144
17 O 0.5008 0.0015 0.1856
18 Mo 0.2186 0.0000 0.0000
19 Mo 0.7814 0.0000 0.0000

=====

Record 16
Density functional theory data (PBEsol) for an optimized crystal structure of RbErMo2O8.

density of states at the Fermi level	0.00	states/eV per cell
uncorrected formation energy	-2.460	eV per atom
mass density	6.12	Mg/m³
symmetry	No. 15

Cell: 7.3543 7.3543 7.5911 Å, 62.07 62.07 88.48°
Atoms (fractional coordinates):
1 O 0.7937 0.9521 0.6962
2 O 0.3670 0.5847 0.4694
3 O 0.4153 0.6330 0.0306
4 O 0.2338 0.3868 0.9380
5 O 0.3854 0.0685 0.8763
6 O 0.5847 0.3670 0.9694
7 O 0.2063 0.0479 0.3038
8 O 0.0685 0.3854 0.3763
9 O 0.7662 0.6132 0.0620
10 O 0.9315 0.6146 0.6237
11 O 0.6330 0.4153 0.5306
12 O 0.9521 0.7937 0.1962
13 O 0.0479 0.2063 0.8038
14 O 0.6146 0.9315 0.1237
15 O 0.6132 0.7662 0.5620
16 O 0.3868 0.2338 0.4380
17 Rb 0.1957 0.8043 0.7500
18 Rb 0.8043 0.1957 0.2500
19 Mo 0.6966 0.6956 0.2623
20 Mo 0.3044 0.3034 0.2377
21 Mo 0.6956 0.6966 0.7623
22 Mo 0.3034 0.3044 0.7377
23 Er 0.7696 0.2304 0.7500
24 Er 0.2304 0.7696 0.2500